1.
# PBE TbCoCl, relaxed
# ΔE_f (raw)	-27.266	kcal/mol of atoms
# magnetization	0.26	μB/f.u.
data_TbCoCl
_space_group_name_H-M_alt 'R -3 m'
_space_group_IT_number 166
_space_group_name_Hall '-R 3 2"'
_cell_length_a 3.8858
_cell_length_b 3.8858
_cell_length_c 32.8591
_cell_angle_alpha 90.00
_cell_angle_beta 90.00
_cell_angle_gamma 120.00
loop_
_atom_site_label
_atom_site_type_symbol
_atom_site_fract_x
_atom_site_fract_y
_atom_site_fract_z
_atom_site_occupancy
Tb1 Tb 0.0000 0.0000 0.0574 1
Co1 Co 0.0000 0.0000 0.3355 1
Cl1 Cl 0.0000 0.0000 0.2231 1



2.
# PBE CaSm3Tl3, relaxed
# magnetization	0.00	μB/f.u.
# calculated formation energy	-0.24	eV per atom
data_CaSm3Tl3
_space_group_name_H-M_alt 'P 63/m'
_space_group_IT_number 176
_space_group_name_Hall '-P 6c'
_cell_length_a 9.7207
_cell_length_b 9.7207
_cell_length_c 5.2917
_cell_angle_alpha 90.00
_cell_angle_beta 90.00
_cell_angle_gamma 120.00
loop_
_atom_site_label
_atom_site_type_symbol
_atom_site_fract_x
_atom_site_fract_y
_atom_site_fract_z
_atom_site_occupancy
Ca1 Ca 0.3333 0.6667 0.2500 1
Sm1 Sm 0.0056 0.2397 0.7500 1
Tl1 Tl 0.0662 0.6174 0.7500 1



3.
# PBE Na3Tl4Hg2, relaxed
# magnetization	0.00	μB/f.u.
# polymorph energy (0 for the lowest one)	0	meV per atom
# calculated formation energy	-0.13	eV per atom
data_Na3Tl4Hg2
_space_group_name_H-M_alt 'C 1 2/c 1'
_space_group_IT_number 15
_cell_length_a 15.876
_cell_length_b 9.202
_cell_length_c 6.974
_cell_angle_alpha 90.00
_cell_angle_beta 90.01
_cell_angle_gamma 90.00
loop_
_space_group_symop_operation_xyz
'x,y,z'
'-x,-y,-z'
'-x,y,-z+1/2'
'x,-y,z+1/2'
'x+1/2,y+1/2,z'
'-x+1/2,-y+1/2,-z'
'-x+1/2,y+1/2,-z+1/2'
'x+1/2,-y+1/2,z+1/2'
loop_
_atom_site_label
_atom_site_type_symbol
_atom_site_fract_x
_atom_site_fract_y
_atom_site_fract_z
_atom_site_occupancy
Na1 Na 0.000 0.000 0.250 1
Na2 Na 0.171 0.500 0.250 1
Tl1 Tl 0.005 0.331 0.000 1
Tl2 Tl 0.166 0.161 0.501 1
Hg1 Hg 0.170 0.168 0.001 1



4.
# PBE RbTlIn2Tc, relaxed
# magnetization	0.00	μB/f.u.
# calculated formation energy	0.07	eV per atom
data_RbTlIn2Tc
_space_group_name_H-M_alt 'P 4/m m m'
_space_group_IT_number 123
_space_group_name_Hall '-P 4 2'
_cell_length_a 5.315
_cell_length_b 5.315
_cell_length_c 5.415
_cell_angle_alpha 90.00
_cell_angle_beta 90.00
_cell_angle_gamma 90.00
loop_
_atom_site_label
_atom_site_type_symbol
_atom_site_fract_x
_atom_site_fract_y
_atom_site_fract_z
_atom_site_occupancy
Rb1 Rb 0.000 0.000 0.000 1
Tl1 Tl 0.500 0.500 0.000 1
In1 In 0.000 0.500 0.500 1
Tc1 Tc 0.500 0.500 0.500 1



5.
# PBE Ac5PbS4, relaxed
# ΔE_f (raw)	-38.634	kcal/mol of atoms
# magnetization	0.00	μB/f.u.
data_Ac5PbS4
_space_group_name_H-M_alt 'C 1 2/m 1'
_space_group_IT_number 12
_cell_length_a 14.524
_cell_length_b 4.473
_cell_length_c 10.835
_cell_angle_alpha 90.00
_cell_angle_beta 118.90
_cell_angle_gamma 90.00
loop_
_space_group_symop_operation_xyz
'x,y,z'
'-x,-y,-z'
'-x,y,-z'
'x,-y,z'
'x+1/2,y+1/2,z'
'-x+1/2,-y+1/2,-z'
'-x+1/2,y+1/2,-z'
'x+1/2,-y+1/2,z'
loop_
_atom_site_label
_atom_site_type_symbol
_atom_site_fract_x
_atom_site_fract_y
_atom_site_fract_z
_atom_site_occupancy
Ac1 Ac 0.000 0.000 0.000 1
Ac2 Ac 0.110 0.500 0.392 1
Ac3 Ac 0.203 0.000 0.814 1
Pb1 Pb 0.000 0.000 0.500 1
S1 S 0.093 0.500 0.899 1
S2 S 0.202 0.000 0.288 1



6.
# PBE Tm2MgAl, relaxed
# magnetization	0.00	μB/f.u.
# polymorph energy (0 for the lowest one)	10	meV per atom
# calculated formation energy	-0.25	eV per atom
data_Tm2MgAl
_space_group_name_H-M_alt 'P 4/m m m'
_space_group_IT_number 123
_space_group_name_Hall '-P 4 2'
_cell_length_a 3.623
_cell_length_b 3.623
_cell_length_c 7.400
_cell_angle_alpha 90.00
_cell_angle_beta 90.00
_cell_angle_gamma 90.00
loop_
_atom_site_label
_atom_site_type_symbol
_atom_site_fract_x
_atom_site_fract_y
_atom_site_fract_z
_atom_site_occupancy
Tm1 Tm 0.000 0.000 0.235 1
Mg1 Mg 0.500 0.500 0.500 1
Al1 Al 0.500 0.500 0.000 1



7.
# PBE Al2InAg, relaxed
# magnetization	0.00	μB/f.u.
# calculated formation energy	0.21	eV per atom
data_Al2InAg
_space_group_name_H-M_alt 'F -4 3 m'
_space_group_IT_number 216
_space_group_name_Hall 'F -4 2 3'
_cell_length_a 6.836
_cell_length_b 6.836
_cell_length_c 6.836
_cell_angle_alpha 90.00
_cell_angle_beta 90.00
_cell_angle_gamma 90.00
loop_
_atom_site_label
_atom_site_type_symbol
_atom_site_fract_x
_atom_site_fract_y
_atom_site_fract_z
_atom_site_occupancy
Al1 Al 0.000 0.000 0.000 1
Al2 Al 0.250 0.250 0.250 1
In1 In 0.000 0.000 0.500 1
Ag1 Ag 0.250 0.250 0.750 1



8.
# PBE Rb3Pr2PbSe6, relaxed
# ΔE_f (raw)	-31.407	kcal/mol of atoms
# magnetization	0.00	μB/f.u.
data_Rb3Pr2PbSe6
_space_group_name_H-M_alt 'C 1 2/m 1'
_space_group_IT_number 12
_cell_length_a 7.629
_cell_length_b 13.213
_cell_length_c 8.444
_cell_angle_alpha 90.00
_cell_angle_beta 107.51
_cell_angle_gamma 90.00
loop_
_space_group_symop_operation_xyz
'x,y,z'
'-x,-y,-z'
'-x,y,-z'
'x,-y,z'
'x+1/2,y+1/2,z'
'-x+1/2,-y+1/2,-z'
'-x+1/2,y+1/2,-z'
'x+1/2,-y+1/2,z'
loop_
_atom_site_label
_atom_site_type_symbol
_atom_site_fract_x
_atom_site_fract_y
_atom_site_fract_z
_atom_site_occupancy
Rb1 Rb 0.000 0.000 0.000 1
Rb2 Rb 0.000 0.335 0.000 1
Pr1 Pr 0.000 0.167 0.500 1
Pb1 Pb 0.000 0.500 0.500 1
Se1 Se 0.232 0.000 0.703 1
Se2 Se 0.236 0.332 0.703 1



Total DFT energy (no corrections) values (in eV/atom) by entry order: -5.7100, -3.5621, -1.6918, -3.7627, -5.7514, -3.8165, -3.0599, -4.4517.